This record from OQMD describes NbBrCl2F6 after structural relaxation. The functional is PBE.

Cell lengths 7.4206, 7.4206, 12.0914 Å; angles 90.00, 90.00, 96.38 degrees
Closest atoms and distances in Å follow each position.
Fractional positions:
Nb 0.1942 0.8058 0.5622  6 F 1.90-1.96
Nb 0.6942 0.3058 0.9378  6 F 1.90-1.96
Nb 0.8058 0.1942 0.4378  6 F 1.90-1.96
Nb 0.3058 0.6942 0.0622  6 F 1.90-1.96
Cl 0.2049 0.1140 0.8654  1 Br 2.13
Cl 0.3860 0.2951 0.6346  1 Br 2.13
Cl 0.8860 0.7951 0.8654  1 Br 2.13
Cl 0.2951 0.3860 0.3654  1 Br 2.13
Cl 0.7049 0.6140 0.6346  1 Br 2.13
Cl 0.1140 0.2049 0.1346  1 Br 2.13
Cl 0.7951 0.8860 0.1346  1 Br 2.13
Cl 0.6140 0.7049 0.3654  1 Br 2.13
F 0.6993 0.0154 0.5383  1 Nb 1.90
F 0.4630 0.5370 0.1280  1 Nb 1.91
F 0.9630 0.0370 0.3720  1 Nb 1.91
F 0.1168 0.6158 0.1705  1 Nb 1.96
F 0.1993 0.5154 0.9617  1 Nb 1.90
F 0.6158 0.1168 0.8295  1 Nb 1.96
F 0.8832 0.3842 0.8295  1 Nb 1.96
F 0.0154 0.6993 0.4617  1 Nb 1.90
F 0.3007 0.9846 0.4617  1 Nb 1.90
F 0.9846 0.3007 0.5383  1 Nb 1.90
F 0.6416 0.3584 0.4967  1 Nb 1.95
F 0.0370 0.9630 0.6280  1 Nb 1.91
F 0.6168 0.1158 0.3295  1 Nb 1.96
F 0.8584 0.1416 0.9967  1 Nb 1.95
F 0.3842 0.8832 0.1705  1 Nb 1.96
F 0.1416 0.8584 0.0033  1 Nb 1.95
F 0.1158 0.6168 0.6705  1 Nb 1.96
F 0.8842 0.3832 0.3295  1 Nb 1.96
F 0.3832 0.8842 0.6705  1 Nb 1.96
F 0.4846 0.8007 0.9617  1 Nb 1.90
F 0.5370 0.4630 0.8720  1 Nb 1.91
F 0.3584 0.6416 0.5033  1 Nb 1.95
F 0.5154 0.1993 0.0383  1 Nb 1.90
F 0.8007 0.4846 0.0383  1 Nb 1.90
Br 0.8253 0.6747 0.2500  2 Cl 2.13
Br 0.1747 0.3253 0.7500  2 Cl 2.13
Br 0.3253 0.1747 0.2500  2 Cl 2.13
Br 0.6747 0.8253 0.7500  2 Cl 2.13

Uncorrected energy ... -4.549 eV/atom